(1)
# K2CrGaO4 | Alexandria via LeMat-Bulk | PBE with a Hubbard U | relaxed
# Spin magnetization ... 24.0 μB per cell
# E_tot ... -361.0 eV per cell
data_K2CrGaO4
_cell_length_a 5.379
_cell_length_b 12.073
_cell_length_c 19.150
_cell_angle_alpha 90.00
_cell_angle_beta 90.00
_cell_angle_gamma 90.00
_space_group_name_H-M_alt 'F d d d'
_space_group_IT_number 70
loop_
_space_group_symop_operation_xyz
'x,y,z'
'-x,-y,-z'
'-x+1/4,-y+1/4,z'
'x+1/4,y+1/4,-z'
'x,-y+1/4,-z+1/4'
'-x,y+1/4,z+1/4'
'-x+1/4,y,-z+1/4'
'x+1/4,-y,z+1/4'
'x,y+1/2,z+1/2'
'-x,-y+1/2,-z+1/2'
'-x+1/4,-y+3/4,z+1/2'
'x+1/4,y+3/4,-z+1/2'
'x,-y+3/4,-z+3/4'
'-x,y+3/4,z+3/4'
'-x+1/4,y+1/2,-z+3/4'
'x+1/4,-y+1/2,z+3/4'
'x+1/2,y,z+1/2'
'-x+1/2,-y,-z+1/2'
'-x+3/4,-y+1/4,z+1/2'
'x+3/4,y+1/4,-z+1/2'
'x+1/2,-y+1/4,-z+3/4'
'-x+1/2,y+1/4,z+3/4'
'-x+3/4,y,-z+3/4'
'x+3/4,-y,z+3/4'
'x+1/2,y+1/2,z'
'-x+1/2,-y+1/2,-z'
'-x+3/4,-y+3/4,z'
'x+3/4,y+3/4,-z'
'x+1/2,-y+3/4,-z+1/4'
'-x+1/2,y+3/4,z+1/4'
'-x+3/4,y+1/2,-z+1/4'
'x+3/4,-y+1/2,z+1/4'
loop_
_atom_site_label
_atom_site_type_symbol
_atom_site_fract_x
_atom_site_fract_y
_atom_site_fract_z
K1 K 0.125 0.125 0.306
Cr1 Cr 0.125 0.125 0.125
Ga1 Ga 0.125 0.125 0.625
O1 O 0.121 0.288 0.831

(2)
# KCrGaO4 | Alexandria via LeMat-Bulk | PBE with a Hubbard U | relaxed
# Spin magnetization ... 4.0 μB per cell
# E_tot ... -84.9 eV per cell
data_KCrGaO4
_cell_length_a 5.425
_cell_length_b 5.366
_cell_length_c 6.991
_cell_angle_alpha 90.00
_cell_angle_beta 102.26
_cell_angle_gamma 90.00
_space_group_name_H-M_alt 'P 1 21/m 1'
_space_group_IT_number 11
loop_
_space_group_symop_operation_xyz
'x,y,z'
'-x,-y,-z'
'-x,y+1/2,-z'
'x,-y+1/2,z'
loop_
_atom_site_label
_atom_site_type_symbol
_atom_site_fract_x
_atom_site_fract_y
_atom_site_fract_z
K1 K 0.151 0.250 0.101
Cr1 Cr 0.153 0.750 0.461
Ga1 Ga 0.393 0.250 0.658
O1 O 0.129 0.015 0.664
O2 O 0.272 0.750 0.213
O3 O 0.497 0.750 0.578